# 1
Computed, not measured: a PBEsol-optimized structure of Tl3CdAs at the meta-GGA SCAN level of DFT.

abc: 5.5198 5.5198 5.5198
angles: 90.00 90.00 90.00
Fractional coordinates of all 5 atoms:
Tl 0.0000 0.0000 0.5000
Tl 0.0000 0.5000 0.0000
Tl 0.5000 0.0000 0.0000
Cd 0.5000 0.5000 0.5000
As 0.0000 0.0000 0.0000

Results
* electronic total energy: -53.18 eV/atom
* space group: Pm-3m (221)


# 2
Computed, not measured: a PBEsol-optimized structure of TlCdAs2 at the meta-GGA SCAN level of DFT.

abc: 3.8728 4.6719 4.7981
angles: 90.00 90.00 90.00
Fractional coordinates of all 4 atoms:
Tl 0.0000 0.0000 0.0000
Cd 0.5000 0.0000 0.5000
As 0.0000 0.5000 0.5000
As 0.5000 0.5000 0.0000

Results
* electronic total energy: -35.46 eV/atom
* space group: Pmmm (47)


# 3
Computed, not measured: a PBEsol-optimized structure of Tl2CdAs at the meta-GGA SCAN level of DFT.

abc: 11.1538 11.1538 11.1538
angles: 16.53 16.53 16.53
Fractional coordinates of all 4 atoms:
Tl 0.2458 0.2458 0.2458
Tl 0.7542 0.7542 0.7542
Cd 0.0000 0.0000 0.0000
As 0.5000 0.5000 0.5000

Results
* electronic total energy: -48.62 eV/atom
* space group: R-3m (166)


# 4
Computed, not measured: a PBEsol-optimized structure of TlCdAs2 at the meta-GGA SCAN level of DFT.

abc: 5.6060 5.6060 3.0986
angles: 95.41 95.41 114.58
Fractional coordinates of all 4 atoms:
Tl 0.0000 0.0000 0.0000
Cd 0.5000 0.5000 0.0000
As 0.0000 0.5000 0.5000
As 0.5000 0.0000 0.5000

Results
* electronic total energy: -35.46 eV/atom
* space group: C2/m (12)


# 5
Computed, not measured: a PBEsol-optimized structure of Tl2Cd2As at the meta-GGA SCAN level of DFT.

abc: 9.1911 9.1911 9.1911
angles: 155.72 155.72 34.61
Fractional coordinates of all 5 atoms:
Tl 0.0908 0.0908 0.0000
Tl 0.9092 0.9092 0.0000
Cd 0.2500 0.7500 0.5000
Cd 0.7500 0.2500 0.5000
As 0.5000 0.5000 0.0000

Results
* electronic total energy: -44.92 eV/atom
* space group: I4/mmm (139)


# 6
Computed, not measured: a PBEsol-optimized structure of CdAs2W at the meta-GGA SCAN level of DFT.

abc: 3.2038 3.2038 6.8825
angles: 90.00 90.00 90.00
Fractional coordinates of all 4 atoms:
Cd 0.0000 0.0000 0.0000
As 0.5000 0.5000 0.2944
As 0.5000 0.5000 0.7056
W 0.0000 0.0000 0.5000

Results
* electronic total energy: -34.95 eV/atom
* space group: P4/mmm (123)


# 7
Computed, not measured: a PBEsol-optimized structure of CdAs2W at the meta-GGA SCAN level of DFT.

abc: 4.5340 4.5340 3.3009
angles: 90.00 90.00 90.00
Fractional coordinates of all 4 atoms:
Cd 0.0000 0.0000 0.0000
As 0.0000 0.5000 0.5000
As 0.5000 0.0000 0.5000
W 0.5000 0.5000 0.0000

Results
* electronic total energy: -34.45 eV/atom
* space group: P4/mmm (123)


# 8
Computed, not measured: a PBEsol-optimized structure of CdAs2W at the meta-GGA SCAN level of DFT.

abc: 7.0846 7.0846 7.0846
angles: 153.64 151.16 39.47
Fractional coordinates of all 4 atoms:
Cd 0.0000 0.0000 0.0000
As 0.3346 0.8346 0.5000
As 0.6184 0.6184 0.0000
W 0.7621 0.2621 0.5000

Results
* electronic total energy: -34.85 eV/atom
* space group: Imm2 (44)


# 9
Computed, not measured: a PBEsol-optimized structure of CdAs2W at the meta-GGA SCAN level of DFT.

abc: 5.4306 5.4306 5.4306
angles: 138.47 138.47 60.18
Fractional coordinates of all 4 atoms:
Cd 0.0000 0.0000 0.0000
As 0.2500 0.7500 0.5000
As 0.5000 0.5000 0.0000
W 0.7500 0.2500 0.5000

Results
* electronic total energy: -34.37 eV/atom
* space group: I-4m2 (119)


# 10
Computed, not measured: a PBEsol-optimized structure of ZrCdAs2W at the meta-GGA SCAN level of DFT.

abc: 4.7805 4.7805 5.2271
angles: 90.00 90.00 90.00
Fractional coordinates of all 5 atoms:
Zr 0.0000 0.0000 0.0000
Cd 0.5000 0.5000 0.0000
As 0.0000 0.5000 0.5000
As 0.5000 0.0000 0.5000
W 0.0000 0.0000 0.5000

Results
* electronic total energy: -33.71 eV/atom
* space group: P4/mmm (123)


# 11
Computed, not measured: a PBEsol-optimized structure of Y3CdAs at the meta-GGA SCAN level of DFT.

abc: 5.3182 5.3182 5.3182
angles: 90.00 90.00 90.00
Fractional coordinates of all 5 atoms:
Y 0.0000 0.0000 0.5000
Y 0.0000 0.5000 0.0000
Y 0.5000 0.0000 0.0000
Cd 0.5000 0.5000 0.5000
As 0.0000 0.0000 0.0000

Results
* electronic total energy: -27.40 eV/atom
* space group: Pm-3m (221)


# 12
Computed, not measured: a PBEsol-optimized structure of YCd2As at the meta-GGA SCAN level of DFT.

abc: 3.9419 3.9419 5.7828
angles: 90.00 90.00 90.00
Fractional coordinates of all 4 atoms:
Y 0.0000 0.0000 0.0000
Cd 0.5000 0.5000 0.2618
Cd 0.5000 0.5000 0.7382
As 0.0000 0.0000 0.5000

Results
* electronic total energy: -27.49 eV/atom
* space group: P4/mmm (123)


Number 1: DOS at the Fermi energy 3.391 states/eV/cell, energy of formation 0.358 eV/atom. Number 2: DOS at the Fermi energy 1.506 states/eV/cell, energy of formation 0.333 eV/atom. Number 3: DOS at the Fermi energy 1.433 states/eV/cell, energy of formation 0.207 eV/atom. Number 4: DOS at the Fermi energy 1.680 states/eV/cell, energy of formation 0.333 eV/atom. Number 5: DOS at the Fermi energy 2.617 states/eV/cell, energy of formation 0.224 eV/atom. Number 6: DOS at the Fermi energy 1.265 states/eV/cell, energy of formation 0.174 eV/atom. Number 7: DOS at the Fermi energy 2.052 states/eV/cell, energy of formation 0.671 eV/atom. Number 8: DOS at the Fermi energy 1.981 states/eV/cell, energy of formation 0.273 eV/atom. Number 9: DOS at the Fermi energy 2.278 states/eV/cell, energy of formation 0.748 eV/atom. Number 10: DOS at the Fermi energy 3.980 states/eV/cell, energy of formation 0.525 eV/atom. Number 11: DOS at the Fermi energy 7.624 states/eV/cell, energy of formation -0.568 eV/atom. Number 12: DOS at the Fermi energy 3.816 states/eV/cell, energy of formation -0.275 eV/atom.